Entry 1:
# Ba2YCdO (GGA-PBE, relaxed)
# E_form (uncorrected) (eV/atom): -1.147
# Magnetization (μB/f.u.): 0.0
data_Ba2YCdO
_chemical_formula_sum 'Ba2 Y1 Cd1 O1'
_symmetry_space_group_name_H-M 'P 4/m m m'
_symmetry_Int_Tables_number 123
_symmetry_space_group_name_Hall '-P 4 2'
_cell_length_a 5.9749
_cell_length_b 5.9749
_cell_length_c 4.4462
_cell_angle_alpha 90.00
_cell_angle_beta 90.00
_cell_angle_gamma 90.00
loop_
_atom_site_label
_atom_site_type_symbol
_atom_site_fract_x
_atom_site_fract_y
_atom_site_fract_z
Ba1 Ba 0.0000 0.5000 0.0000
Y1 Y 0.0000 0.0000 0.5000
Cd1 Cd 0.5000 0.5000 0.5000
O1 O 0.0000 0.0000 0.0000



Entry 2:
# LaY2Os (GGA-PBE, relaxed)
# Calculated formation energy (eV per formula unit): -0.20
# Magnetization (μB/f.u.): 0.0
data_LaY2Os
_chemical_formula_sum 'La2 Y4 Os2'
_symmetry_space_group_name_H-M 'I m m m'
_symmetry_Int_Tables_number 71
_symmetry_space_group_name_Hall '-I 2 2'
_cell_length_a 3.6116
_cell_length_b 5.3636
_cell_length_c 11.5656
_cell_angle_alpha 90.00
_cell_angle_beta 90.00
_cell_angle_gamma 90.00
loop_
_atom_site_label
_atom_site_type_symbol
_atom_site_fract_x
_atom_site_fract_y
_atom_site_fract_z
La1 La 0.0000 0.0000 0.0000
Y1 Y 0.0000 0.5000 0.1910
Os1 Os 0.0000 0.0000 0.5000



Entry 3:
# MgP2 (GGA-PBE, relaxed)
# Calculated formation energy (eV per formula unit): -0.05
# Magnetization (μB/f.u.): 0.0
data_MgP2
_chemical_formula_sum 'Mg4 P8'
_symmetry_space_group_name_H-M 'I 4/m c m'
_symmetry_Int_Tables_number 140
_symmetry_space_group_name_Hall '-I 4 2c'
_cell_length_a 6.0171
_cell_length_b 6.0171
_cell_length_c 5.8216
_cell_angle_alpha 90.00
_cell_angle_beta 90.00
_cell_angle_gamma 90.00
loop_
_atom_site_label
_atom_site_type_symbol
_atom_site_fract_x
_atom_site_fract_y
_atom_site_fract_z
Mg1 Mg 0.0000 0.0000 0.2500
P1 P 0.1248 0.3752 0.0000



Entry 4:
# DySiB2 (GGA-PBE, relaxed)
# E_form (uncorrected) (eV/atom): -0.253
# Magnetization (μB/f.u.): 0.0
data_DySiB2
_chemical_formula_sum 'Dy2 Si2 B4'
_symmetry_space_group_name_H-M 'A m m 2'
_symmetry_Int_Tables_number 38
_cell_length_a 3.7124
_cell_length_b 4.8275
_cell_length_c 6.2449
_cell_angle_alpha 90.00
_cell_angle_beta 90.00
_cell_angle_gamma 90.00
loop_
_symmetry_equiv_pos_as_xyz
'x,y,z'
'-x,-y,z'
'-x,y,z'
'x,-y,z'
'x,y+1/2,z+1/2'
'-x,-y+1/2,z+1/2'
'-x,y+1/2,z+1/2'
'x,-y+1/2,z+1/2'
loop_
_atom_site_label
_atom_site_type_symbol
_atom_site_fract_x
_atom_site_fract_y
_atom_site_fract_z
Dy1 Dy 0.0000 0.0000 0.0000
Si1 Si 0.5000 0.0000 0.6121
B1 B 0.5000 0.1664 0.3000



Entry 5:
# RbEu2Pd (GGA-PBE, relaxed)
# Calculated formation energy (eV per formula unit): -0.96
# Magnetization (μB/f.u.): 14.3
data_RbEu2Pd
_chemical_formula_sum 'Rb3 Eu6 Pd3'
_symmetry_space_group_name_H-M 'R -3 m'
_symmetry_Int_Tables_number 166
_symmetry_space_group_name_Hall '-R 3 2"'
_cell_length_a 4.3234
_cell_length_b 4.3234
_cell_length_c 35.0720
_cell_angle_alpha 90.00
_cell_angle_beta 90.00
_cell_angle_gamma 120.00
loop_
_atom_site_label
_atom_site_type_symbol
_atom_site_fract_x
_atom_site_fract_y
_atom_site_fract_z
Rb1 Rb 0.0000 0.0000 0.0000
Eu1 Eu 0.0000 0.0000 0.1211
Pd1 Pd 0.0000 0.0000 0.5000



Entry 6:
# SbTeF3 (GGA-PBE, relaxed)
# E_form (uncorrected) (eV/atom): -0.744
# Magnetization (μB/f.u.): 0.4
data_SbTeF3
_chemical_formula_sum 'Sb1 Te1 F3'
_symmetry_space_group_name_H-M 'P m -3 m'
_symmetry_Int_Tables_number 221
_symmetry_space_group_name_Hall '-P 4 2 3'
_cell_length_a 4.6231
_cell_length_b 4.6231
_cell_length_c 4.6231
_cell_angle_alpha 90.00
_cell_angle_beta 90.00
_cell_angle_gamma 90.00
loop_
_atom_site_label
_atom_site_type_symbol
_atom_site_fract_x
_atom_site_fract_y
_atom_site_fract_z
Sb1 Sb 0.0000 0.0000 0.0000
Te1 Te 0.5000 0.5000 0.5000
F1 F 0.0000 0.5000 0.5000



Entry 7:
# AcY7Ho3 (GGA-PBE, relaxed)
# Calculated formation energy (eV per formula unit): 1.60
# Magnetization (μB/f.u.): 0.0
data_AcY7Ho3
_chemical_formula_sum 'Ac1 Y7 Ho3'
_symmetry_space_group_name_H-M 'P 1 2/m 1'
_symmetry_Int_Tables_number 10
_cell_length_a 6.9955
_cell_length_b 5.6240
_cell_length_c 9.9359
_cell_angle_alpha 90.00
_cell_angle_beta 108.05
_cell_angle_gamma 90.00
loop_
_symmetry_equiv_pos_as_xyz
'x,y,z'
'-x,-y,-z'
'-x,y,-z'
'x,-y,z'
loop_
_atom_site_label
_atom_site_type_symbol
_atom_site_fract_x
_atom_site_fract_y
_atom_site_fract_z
Ac1 Ac 0.0000 0.0000 0.0000
Y1 Y 0.0000 0.0000 0.5000
Y2 Y 0.1468 0.5000 0.7870
Y3 Y 0.3315 0.5000 0.1426
Y4 Y 0.4359 0.0000 0.3330
Ho1 Ho 0.2747 0.5000 0.4924
Ho2 Ho 0.5000 0.0000 0.0000



Entry 8:
# Ca2CuPt (GGA-PBE, relaxed)
# Calculated formation energy (eV per formula unit): -1.18
# Magnetization (μB/f.u.): 0.0
data_Ca2CuPt
_chemical_formula_sum 'Ca2 Cu1 Pt1'
_symmetry_space_group_name_H-M 'P 4 m m'
_symmetry_Int_Tables_number 99
_cell_length_a 4.1428
_cell_length_b 4.1428
_cell_length_c 5.8657
_cell_angle_alpha 90.00
_cell_angle_beta 90.00
_cell_angle_gamma 90.00
loop_
_symmetry_equiv_pos_as_xyz
'x,y,z'
'-y,x,z'
'-x,-y,z'
'y,-x,z'
'-x,y,z'
'y,x,z'
'x,-y,z'
'-y,-x,z'
loop_
_atom_site_label
_atom_site_type_symbol
_atom_site_fract_x
_atom_site_fract_y
_atom_site_fract_z
Ca1 Ca 0.0000 0.0000 0.0000
Ca2 Ca 0.5000 0.5000 0.4506
Cu1 Cu 0.0000 0.0000 0.5093
Pt1 Pt 0.5000 0.5000 0.9500